Density functional theory data (PBE) for a relaxed structure of Ba2PrTcO6.

## Properties
The calculation puts the density of states at the Fermi level at 4.332 states/eV/f.u. Its raw total energy is -7.2323 eV per atom. The spin magnetization comes out at 2.0 μB per formula unit. As for the theoretical density: 5.92 Mg/m³. For the formation energy from raw total energies, the calculation gives -2.36 eV/atom.

The structure in POSCAR format:
```
Ba2PrTcO6
1.0
6.1856 0.0000 0.0000
3.0928 5.3569 0.0000
3.0928 1.7856 10.3135
O Pr Ba Tc
12 2 4 2
direct
0.8497 0.3819 0.3864 O
0.7429 0.1839 0.8893 O
0.8161 0.2571 0.1107 O
0.2571 0.8161 0.1107 O
0.3819 0.3819 0.3864 O
0.3819 0.8497 0.3864 O
0.1839 0.7429 0.8893 O
0.6181 0.6181 0.6136 O
0.1503 0.6181 0.6136 O
0.8161 0.8161 0.1107 O
0.6181 0.1503 0.6136 O
0.1839 0.1839 0.8893 O
0.5959 0.5959 0.2124 Pr
0.4041 0.4041 0.7876 Pr
0.1377 0.1377 0.5869 Ba
0.2731 0.2731 0.1808 Ba
0.7269 0.7269 0.8192 Ba
0.8623 0.8623 0.4131 Ba
0.5000 0.5000 0.5000 Tc
0.0000 0.0000 0.0000 Tc
```

Density functional theory data (PBE) for a relaxed structure of La3Pm4Pt4.

## Properties
The calculation puts the density of states at the Fermi level at 12.049 states/eV/f.u. Its raw total energy is -6.0972 eV per atom. The spin magnetization comes out at 0.0 μB per formula unit. As for the theoretical density: 9.78 Mg/m³. As for the energy of formation: -0.829 eV/atom.

The structure in POSCAR format:
```
La3Pm4Pt4
1.0
4.7657 0.0000 0.0000
0.0000 7.8724 0.0000
-2.3829 -3.9362 8.0432
Pt Pm La
4 4 3
direct
0.5000 0.1878 0.0000 Pt
0.7965 0.2965 0.5930 Pt
0.5000 0.8122 0.0000 Pt
0.2035 0.7035 0.4070 Pt
0.6706 0.8877 0.3411 Pm
0.6706 0.4534 0.3411 Pm
0.3294 0.1123 0.6589 Pm
0.3294 0.5466 0.6589 Pm
0.0969 0.0969 0.1938 La
0.9031 0.9031 0.8062 La
0.0000 0.5000 0.0000 La
```

Density functional theory data (PBE) for a relaxed structure of ZnBOF2.

## Properties
The calculation puts the density of states at the Fermi level at 2.845 states/eV/f.u. Its raw total energy is -3.5512 eV per atom. The spin magnetization comes out at 0.8 μB per formula unit. As for the theoretical density: 3.47 Mg/m³. For the excess energy over the best structure of this formula in the dataset, the calculation gives 5.84 eV/f.u. For the formation energy from raw total energies, the calculation gives -0.22 eV/atom.

The structure in POSCAR format:
```
ZnBOF2
1.0
-0.1506 2.2754 -3.2468
-1.8796 -2.9018 -1.9464
-3.4819 1.4604 1.1850
F O Zn B
2 1 1 1
direct
0.5000 0.0000 0.0000 F
0.0000 0.5000 0.0000 F
0.0000 0.0000 0.5000 O
0.0000 0.0000 0.0000 Zn
0.5000 0.5000 0.5000 B
```

Density functional theory data (PBE) for a relaxed structure of Sm3Y6Er2Th.

## Properties
The calculation puts the density of states at the Fermi level at 16.341 states/eV/f.u. Its raw total energy is -5.7696 eV per atom. The spin magnetization comes out at 0.0 μB per formula unit. As for the theoretical density: 6.64 Mg/m³. As for the energy of formation: 0.021 eV/atom.

The structure in POSCAR format:
```
Sm3Y6Er2Th
1.0
6.1980 0.0001 0.0124
-3.0973 5.3685 0.0124
-1.0580 -1.8319 11.6514
Er Y Sm Th
2 6 3 1
direct
0.3333 0.6667 0.0000 Er
0.6667 0.3333 0.0000 Er
0.0832 0.4134 0.2470 Y
0.9168 0.5866 0.7530 Y
0.4134 0.0832 0.2470 Y
0.7528 0.7528 0.2469 Y
0.2472 0.2472 0.7531 Y
0.5866 0.9168 0.7530 Y
0.5000 0.5000 0.5000 Sm
0.1672 0.8328 0.5000 Sm
0.8328 0.1672 0.5000 Sm
0.0000 0.0000 0.0000 Th
```